Below is Rb2YI2 after structural relaxation, with properties calculated at the GGA-PBE level.

Distance to the lowest polymorph of the same formula (kJ/mol of atoms): 15.0
Magnetization (μB/cell): 2.69
Raw formation energy (eV per atom): -0.45

abc: 10.561 10.561 4.224
angles: 90.00 90.00 90.00
Sites, in units of the cell vectors:
Rb  0.137  0.363  0.000
Rb  0.363  0.863  0.000
Rb  0.637  0.137  0.000
Rb  0.863  0.637  0.000
Y  0.000  0.000  0.000
Y  0.500  0.500  0.000
I  0.159  0.659  0.500
I  0.341  0.159  0.500
I  0.659  0.841  0.500
I  0.841  0.341  0.500

---

Below is Ba6Ca6Cu9Hg3O25 after structural relaxation, with properties calculated at the GGA-PBE level.

Magnetization (μB/cell): 0.34
Raw formation energy (eV per atom): -1.66

abc: 8.640 8.640 17.057
angles: 107.68 107.68 36.94
Sites, in units of the cell vectors:
Ba  0.055  0.055  0.165
Ba  0.275  0.275  0.824
Ba  0.392  0.392  0.176
Ba  0.608  0.608  0.824
Ba  0.725  0.725  0.176
Ba  0.945  0.945  0.835
Ca  0.132  0.132  0.396
Ca  0.200  0.200  0.601
Ca  0.466  0.466  0.398
Ca  0.534  0.534  0.602
Ca  0.800  0.800  0.399
Ca  0.868  0.868  0.604
Cu  0.000  0.000  0.500
Cu  0.066  0.066  0.698
Cu  0.267  0.267  0.302
Cu  0.333  0.333  0.500
Cu  0.400  0.400  0.699
Cu  0.600  0.600  0.301
Cu  0.667  0.667  0.500
Cu  0.733  0.733  0.698
Cu  0.934  0.934  0.302
Hg  0.162  0.162  0.000
Hg  0.500  0.500  0.000
Hg  0.838  0.838  0.000
O  0.000  0.000  0.000
O  0.000  0.500  0.500
O  0.066  0.563  0.696
O  0.101  0.601  0.304
O  0.128  0.128  0.873
O  0.167  0.667  0.500
O  0.213  0.213  0.127
O  0.234  0.731  0.696
O  0.269  0.766  0.304
O  0.333  0.833  0.500
O  0.399  0.899  0.696
O  0.437  0.934  0.304
O  0.458  0.458  0.872
O  0.500  0.000  0.500
O  0.542  0.542  0.128
O  0.563  0.066  0.696
O  0.601  0.101  0.304
O  0.667  0.167  0.500
O  0.731  0.234  0.696
O  0.766  0.269  0.304
O  0.787  0.787  0.873
O  0.833  0.333  0.500
O  0.872  0.872  0.127
O  0.899  0.399  0.696
O  0.934  0.437  0.304

---

Below is BeCo5B2 after structural relaxation, with properties calculated at the GGA-PBE level.

DFT formation energy (meV/atom): -239
Magnetization (μB/cell): 6.93

abc: 6.120 6.120 6.120
angles: 127.14 127.14 78.02
Sites, in units of the cell vectors:
Be  0.250  0.250  0.000
Be  0.750  0.750  0.000
Co  0.000  0.000  0.000
Co  0.021  0.521  0.822
Co  0.199  0.021  0.500
Co  0.301  0.801  0.822
Co  0.479  0.301  0.500
Co  0.500  0.500  0.000
Co  0.521  0.699  0.500
Co  0.699  0.199  0.178
Co  0.801  0.979  0.500
Co  0.979  0.479  0.178
B  0.131  0.369  0.500
B  0.369  0.869  0.239
B  0.631  0.131  0.761
B  0.869  0.631  0.500